Entry 1:
DFT (PBE) results for an optimized crystal structure of ScV4Os.

Cell: 4.990 4.990 4.990 Å, 60.00 60.00 60.00°
Atoms (fractional coordinates):
Sc1 0.000 0.000 0.000
V1 0.625 0.124 0.625
V2 0.124 0.625 0.625
V3 0.625 0.625 0.124
V4 0.625 0.625 0.625
Os1 0.250 0.250 0.250

As for the energy: -9.084 eV per atom. As for the energy of formation from the pure elements: -0.08 eV/atom. The symmetry is F-43m (216). For the density of states at the Fermi level, the calculation gives 2.90 states/eV per cell.



Entry 2:
DFT (PBE) results for an optimized crystal structure of ScVOs.

Cell: 3.097 3.097 5.473 Å, 106.43 106.43 90.00°
Atoms (fractional coordinates):
Os1 0.934 0.934 0.867
Sc1 0.614 0.614 0.229
V1 0.302 0.302 0.604

As for the energy: -9.133 eV per atom. The energy above the most stable polymorph in this dataset comes out at 133 meV/atom. As for the energy of formation from the pure elements: -0.24 eV/atom. The symmetry is I4mm (107). For the density of states at the Fermi level, the calculation gives 2.68 states/eV per cell.



Entry 3:
DFT (PBE) results for an optimized crystal structure of Sc3VOs.

Cell: 5.005 5.005 5.005 Å, 90.00 90.00 90.00°
Atoms (fractional coordinates):
Sc1 0.000 0.000 0.500
Sc2 0.000 0.500 0.000
Sc3 0.500 0.000 0.000
Os1 0.000 0.000 0.000
V1 0.500 0.500 0.500

As for the energy: -7.483 eV per atom. The energy above the most stable polymorph in this dataset comes out at 0 meV/atom. As for the energy of formation from the pure elements: 0.39 eV/atom. The symmetry is Pm-3m (221). For the density of states at the Fermi level, the calculation gives 5.28 states/eV per cell.



Entry 4:
DFT (PBE) results for an optimized crystal structure of ScV3Os.

Cell: 4.653 4.653 4.653 Å, 90.00 90.00 90.00°
Atoms (fractional coordinates):
V1 0.000 0.500 0.000
V2 0.000 0.000 0.500
V3 0.500 0.000 0.000
Sc1 0.500 0.500 0.500
Os1 0.000 0.000 0.000

As for the energy: -8.234 eV per atom. The energy above the most stable polymorph in this dataset comes out at 0 meV/atom. As for the energy of formation from the pure elements: 0.75 eV/atom. The symmetry is Pm-3m (221). For the density of states at the Fermi level, the calculation gives 7.03 states/eV per cell.



Entry 5:
DFT (PBE) results for an optimized crystal structure of ScV2Os.

Cell: 4.391 4.391 4.391 Å, 60.00 60.00 60.00°
Atoms (fractional coordinates):
V1 0.250 0.250 0.250
V2 0.750 0.750 0.750
Os1 0.500 0.500 0.500
Sc1 0.000 0.000 0.000

As for the energy: -9.031 eV per atom. The energy above the most stable polymorph in this dataset comes out at 0 meV/atom. As for the energy of formation from the pure elements: -0.08 eV/atom. The symmetry is Fm-3m (225). For the density of states at the Fermi level, the calculation gives 6.33 states/eV per cell.



Entry 6:
DFT (PBE) results for an optimized crystal structure of ScVOs3.

Cell: 4.494 4.494 4.494 Å, 90.00 90.00 90.00°
Atoms (fractional coordinates):
Os1 0.000 0.000 0.500
Os2 0.500 0.000 0.000
Os3 0.000 0.500 0.000
Sc1 0.500 0.500 0.500
V1 0.000 0.000 0.000

As for the energy: -8.922 eV per atom. The energy above the most stable polymorph in this dataset comes out at 0 meV/atom. As for the energy of formation from the pure elements: 0.91 eV/atom. The symmetry is Pm-3m (221). For the density of states at the Fermi level, the calculation gives 2.79 states/eV per cell.



Entry 7:
DFT (PBE) results for an optimized crystal structure of ScVOs.

Cell: 5.155 5.165 5.165 Å, 62.26 60.07 60.07°
Atoms (fractional coordinates):
V1 0.000 0.000 0.000
V2 0.500 0.000 0.000
Os1 0.500 0.500 0.000
Os2 0.500 0.000 0.500
Sc1 0.128 0.622 0.622
Sc2 0.872 0.378 0.378

As for the energy: -9.267 eV per atom. The energy above the most stable polymorph in this dataset comes out at 0 meV/atom. As for the energy of formation from the pure elements: -0.37 eV/atom. The symmetry is Imma (74). For the density of states at the Fermi level, the calculation gives 6.12 states/eV per cell.



Entry 8:
DFT (PBE) results for an optimized crystal structure of ScVOs.

Cell: 4.179 4.588 5.462 Å, 90.00 112.49 90.00°
Atoms (fractional coordinates):
Os1 0.617 0.250 0.235
Os2 0.383 0.750 0.765
Sc1 0.080 0.750 0.159
Sc2 0.920 0.250 0.841
V1 0.246 0.250 0.492
V2 0.754 0.750 0.508

As for the energy: -9.087 eV per atom. The energy above the most stable polymorph in this dataset comes out at 180 meV/atom. As for the energy of formation from the pure elements: -0.19 eV/atom. The symmetry is Cmcm (63). For the density of states at the Fermi level, the calculation gives 4.71 states/eV per cell.



Entry 9:
DFT (PBE) results for an optimized crystal structure of ScOsW2.

Cell: 9.520 9.520 9.520 Å, 17.35 17.35 17.35°
Atoms (fractional coordinates):
Os1 0.250 0.250 0.250
Sc1 0.750 0.750 0.750
W1 0.505 0.505 0.505
W2 0.995 0.995 0.995

As for the energy: -10.563 eV per atom. The energy above the most stable polymorph in this dataset comes out at 378 meV/atom. As for the energy of formation from the pure elements: 0.30 eV/atom. The symmetry is R-3m (166). For the density of states at the Fermi level, the calculation gives 2.30 states/eV per cell.



Entry 10:
DFT (PBE) results for an optimized crystal structure of ScOs2W.

Cell: 5.207 5.207 5.207 Å, 144.93 126.81 65.31°
Atoms (fractional coordinates):
W1 0.250 0.750 0.500
Sc1 0.750 0.250 0.500
Os1 0.013 0.013 0.000
Os2 0.487 0.487 0.000

As for the energy: -10.330 eV per atom. As for the energy of formation from the pure elements: 0.11 eV/atom. The symmetry is Immm (71). For the density of states at the Fermi level, the calculation gives 3.95 states/eV per cell.



Entry 11:
DFT (PBE) results for an optimized crystal structure of ScOs2W.

Cell: 3.142 3.142 6.521 Å, 90.00 90.00 90.00°
Atoms (fractional coordinates):
Sc1 0.000 0.000 0.490
W1 0.500 0.500 0.771
Os1 0.500 0.500 0.250
Os2 0.000 0.000 0.989

As for the energy: -10.254 eV per atom. As for the energy of formation from the pure elements: 0.18 eV/atom. The symmetry is P4mm (99). For the density of states at the Fermi level, the calculation gives 2.84 states/eV per cell.



Entry 12:
DFT (PBE) results for an optimized crystal structure of ScOs2W.

Cell: 2.758 2.758 9.141 Å, 90.00 90.00 112.72°
Atoms (fractional coordinates):
Sc1 0.000 0.000 0.491
W1 0.500 0.500 0.762
Os1 0.500 0.500 0.247
Os2 0.000 0.000 0.000

As for the energy: -10.101 eV per atom. As for the energy of formation from the pure elements: 0.34 eV/atom. The symmetry is Cmm2 (35). For the density of states at the Fermi level, the calculation gives 4.28 states/eV per cell.



Entry 13:
DFT (PBE) results for an optimized crystal structure of Sc2OsW.

Cell: 3.199 4.730 4.548 Å, 90.00 90.00 90.00°
Atoms (fractional coordinates):
Os1 0.000 0.500 0.500
Sc1 0.500 0.500 0.000
Sc2 0.000 0.000 0.000
W1 0.500 0.000 0.500

As for the energy: -9.150 eV per atom. The energy above the most stable polymorph in this dataset comes out at 164 meV/atom. As for the energy of formation from the pure elements: 0.06 eV/atom. The symmetry is Pmmm (47). For the density of states at the Fermi level, the calculation gives 4.24 states/eV per cell.



Entry 14:
DFT (PBE) results for an optimized crystal structure of ScOs2W.

Cell: 5.276 5.168 2.794 Å, 78.31 82.38 118.34°
Atoms (fractional coordinates):
W1 0.500 0.500 0.000
Os1 0.500 0.000 0.500
Os2 0.000 0.000 0.000
Sc1 0.000 0.500 0.500

As for the energy: -10.367 eV per atom. As for the energy of formation from the pure elements: 0.07 eV/atom. The symmetry is C2/m (12). For the density of states at the Fermi level, the calculation gives 3.26 states/eV per cell.



Entry 15:
DFT (PBE) results for an optimized crystal structure of ScOs2W.

Cell: 4.291 2.823 5.460 Å, 77.43 90.00 90.00°
Atoms (fractional coordinates):
W1 0.500 0.750 0.750
Os1 0.000 0.933 0.983
Os2 0.000 0.567 0.517
Sc1 0.500 0.250 0.250

As for the energy: -10.386 eV per atom. As for the energy of formation from the pure elements: 0.05 eV/atom. The symmetry is P2/m (10). For the density of states at the Fermi level, the calculation gives 2.89 states/eV per cell.